Computed, not measured: crystalline Ca2SnAs2 at its relaxed geometry at the PBE-GGA level of DFT.

Lattice parameters (Å, degrees): 5.167 5.167 10.544 90.00 90.00 90.00
Space group I4/mmm (No. 139)
Unique sites:
Ca 0.000 0.500 0.250 [4 per cell]
Sn 0.000 0.000 0.000 [2 per cell]
As 0.000 0.000 0.385 [4 per cell]

- Calculated total energy: -39.3 eV/cell
- Magnetic moment: 0.00 μB/f.u.